An optimized crystal structure of VAg3Cl2F6, computed with PBE with a Hubbard U.

a b c (Å): 4.8552 6.8877 7.5962
angles (deg): 116.96 94.25 90.00
Fractional coordinates of all 12 atoms:
V 0.5000 0.0000 0.0000
Ag 0.0000 0.5000 0.0000
Ag 0.5000 0.5000 0.5000
Ag 0.5000 0.0000 0.5000
Cl 0.1780 0.6808 0.3617
Cl 0.8220 0.3192 0.6383
F 0.7162 0.2504 0.1221
F 0.2838 0.7496 0.8779
F 0.7095 0.8940 0.7880
F 0.2905 0.1060 0.2120
F 0.2838 0.1284 0.8779
F 0.7162 0.8716 0.1221

Output
Total energy = -4.175 eV per atom
Calculated volume = 18.803 A^3/atom
ρ = 4.1 g/cm³